No. 1
First-principles (GGA-PBE) data for a relaxed Cr2SiS crystal, as listed in Alexandria via LeMat-Bulk.

Cell: 4.0801 4.0801 4.0801 Å, 60.00 60.00 60.00°
Last column: nearest neighbours and their distance in Å.
Atoms (fractional coordinates):
Cr 0.2500 0.2500 0.2500  4 S 2.50, 4 Si 2.50
Cr 0.7500 0.7500 0.7500  4 S 2.50, 4 Si 2.50
Si 0.0000 0.0000 0.0000  8 Cr 2.50
S 0.5000 0.5000 0.5000  8 Cr 2.50

Calculated values
- Density of states at the Fermi level: 0.824 states/eV per atom
- Energy: -0.523 Ry per atom
- Total moment: 1.99 μB per formula unit

No. 2
First-principles (GGA-PBE) data for a relaxed TcAs2PdPb crystal, as listed in Alexandria via LeMat-Bulk.

Cell: 5.3044 5.3044 5.1958 Å, 90.00 90.00 90.00°
Last column: nearest neighbours and their distance in Å.
Atoms (fractional coordinates):
Tc 0.0000 0.0000 0.0000  2 Pb 2.60
As 0.0000 0.5000 0.5000  2 Pb 2.65
As 0.5000 0.0000 0.5000  2 Pb 2.65
Pd 0.5000 0.5000 0.0000  8 As 3.71, 4 Tc 3.75
Pb 0.0000 0.0000 0.5000  2 Tc 2.60, 4 As 2.65

Calculated values
- Density of states at the Fermi level: 0.986 states/eV per atom
- Energy: -0.290 Ry per atom
- ΔH_f (0 K): 1.77 eV/atom
- Total moment: 2.98 μB per formula unit

No. 3
First-principles (GGA-PBE) data for a relaxed Pr7In3 crystal, as listed in Alexandria via LeMat-Bulk.

Cell: 9.3275 9.3275 7.0438 Å, 107.79 107.79 33.49°
Last column: nearest neighbours and their distance in Å.
Atoms (fractional coordinates):
Pr 0.0000 0.0000 0.0000  4 In 3.31-3.52
Pr 0.1958 0.1958 0.6836  5 In 3.27-3.66, 5 Pr 3.49-3.59
Pr 0.3705 0.3705 0.0979  3 In 3.39-3.44, 7 Pr 3.49-3.75
Pr 0.4048 0.4048 0.6334  4 In 3.47-3.61, 8 Pr 3.52-3.86
Pr 0.5952 0.5952 0.3666  4 In 3.47-3.61, 8 Pr 3.52-3.86
Pr 0.6295 0.6295 0.9021  3 In 3.39-3.44, 7 Pr 3.49-3.75
Pr 0.8042 0.8042 0.3164  5 In 3.27-3.66, 5 Pr 3.49-3.59
In 0.0000 0.0000 0.5000  8 Pr 3.32-3.52
In 0.1949 0.1949 0.2023  10 Pr 3.27-3.66
In 0.8051 0.8051 0.7977  10 Pr 3.27-3.66

Calculated values
- Density of states at the Fermi level: 1.176 states/eV per atom
- Energy: -0.329 Ry per atom
- ΔH_f (0 K): -0.31 eV/atom
- Total moment: 0.00 μB per formula unit

Record-wise ρ values, in g/cm3: 5.7, 6.4, 6.9